No. 1
The following is a PBE calculation of crystalline ThMgPt2 at its relaxed geometry, from the Alexandria database.

a b c (Å): 3.5602 5.0218 5.0218
angles (deg): 93.24 90.00 90.00
Closest atoms and distances in Å follow each position.
Fractional coordinates of all 4 atoms:
Th: 0.0000 0.0190 0.9810  8 Pt 3.08-3.12
Mg: 0.5000 0.5933 0.4067  4 Pt 2.53-2.57
Pt: 0.5000 0.5089 0.9061  2 Mg 2.53-2.57
Pt: 0.5000 0.0939 0.4911  2 Mg 2.53-2.57

## Properties
Magnetization = 0.00 μB per cell
DOS(E_F) = 0.48 states/eV per atom
Energy relative to the elements = -0.814 eV/atom
Space group = Amm2, No. 38

---

No. 2
The following is a PBE calculation of crystalline TaVZn at its relaxed geometry, from the Alexandria database.

a b c (Å): 2.6675 2.6675 7.5659
angles (deg): 100.15 100.15 90.00
Closest atoms and distances in Å follow each position.
Fractional coordinates of all 3 atoms:
Zn: 0.7752 0.7752 0.5505  1 V 2.58, 4 Zn 2.67
V: 0.9511 0.9511 0.9021  1 Ta 2.53, 1 Zn 2.58, 4 V 2.67
Ta: 0.1237 0.1237 0.2474  1 V 2.53, 4 Ta 2.67

## Properties
Magnetization = 0.00 μB per cell
DOS(E_F) = 0.94 states/eV per atom
Energy relative to the elements = 0.730 eV/atom
Space group = I4mm, No. 107

---

No. 3
The following is a PBE calculation of crystalline Ac7FePb4 at its relaxed geometry, from the Alexandria database.

a b c (Å): 5.7014 10.4043 8.9579
angles (deg): 76.97 71.44 74.10
Closest atoms and distances in Å follow each position.
Fractional coordinates of all 12 atoms:
Ac: 0.7867 0.8699 0.5567  4 Pb 3.32-3.66
Ac: 0.2133 0.1301 0.4433  4 Pb 3.32-3.66
Ac: 0.0748 0.7353 0.1152  1 Fe 2.68
Ac: 0.9252 0.2647 0.8848  1 Fe 2.68
Ac: 0.3608 0.5445 0.7338  5 Pb 3.41-3.52
Ac: 0.5000 0.0000 0.0000  2 Fe 2.85
Ac: 0.6392 0.4555 0.2662  5 Pb 3.41-3.52
Fe: 0.0000 0.0000 0.0000  4 Ac 2.68-2.85
Pb: 0.5775 0.2233 0.6218  8 Ac 3.42-3.68
Pb: 0.4225 0.7767 0.3782  8 Ac 3.42-3.68
Pb: 0.7263 0.6531 0.8943  7 Ac 3.32-3.71
Pb: 0.2737 0.3469 0.1057  7 Ac 3.32-3.71

## Properties
Magnetization = 0.72 μB per cell
DOS(E_F) = 0.63 states/eV per atom
Energy relative to the elements = -0.156 eV/atom
Space group = C2/m, No. 12